Cr5Au | Alexandria via LeMat-Bulk | PBE | relaxed; formation enthalpy at 0 K = 2.7 eV/f.u.; magnetization = 0.00 μB per formula unit; crystal system = hexagonal; E = -8.120 eV per atom
1.0
-4.439 -1.864 -0.549
2.864 -1.576 3.577
-1.457 2.766 2.386
Cr Au
5 1
Direct
0.500 0.500 0.500
0.667 0.333 0.000
0.333 0.667 0.000
0.500 0.000 0.500
0.000 0.500 0.500
0.000 0.000 0.000